Entry 1:
Sr2RePb | GGA-PBE | relaxed

## Properties
Formation energy from the elements = 0.651 eV per atom
Theoretical density = 8.526 g/cm³
Space-group type = Pmmm (47)
Total moment = 0.00 μB per formula unit

Cell: 3.1739 4.6834 7.4503 Å, 90.00 90.00 90.00°
Closest atoms and distances in Å follow each position.
Element x y z (fractional)
Pb (0.5000, 0.5000, 0.2500)  2 Pb 3.17, 8 Sr 3.46
Re (0.5000, 0.5000, 0.7500)  2 Re 3.17, 8 Sr 3.32
Sr (0.0000, 0.0000, 0.9821)  3 Sr 3.17-3.46, 4 Re 3.32, 4 Pb 3.46
Sr (0.0000, 0.0000, 0.5179)  3 Sr 3.17-3.46, 4 Re 3.32, 4 Pb 3.46

=====

Entry 2:
LaTl3Rh | GGA-PBE | relaxed

## Properties
Formation energy from the elements = 1.293 eV per atom
Offset from the most stable computed form = 1.346 eV per atom
Theoretical density = 6.467 g/cm³
Space-group type = Pm-3m (221)
Total moment = 0.93 μB per formula unit

Cell: 6.0326 6.0326 6.0326 Å, 90.00 90.00 90.00°
Closest atoms and distances in Å follow each position.
Element x y z (fractional)
Tl (0.0000, 0.5000, 0.0000)  2 La 3.02
Tl (0.0000, 0.0000, 0.5000)  2 La 3.02
Tl (0.5000, 0.0000, 0.0000)  2 La 3.02
Rh (0.5000, 0.5000, 0.5000)  12 Tl 4.27
La (0.0000, 0.0000, 0.0000)  6 Tl 3.02

=====

Entry 3:
BaMgSn3 | GGA-PBE | relaxed

## Properties
Formation energy from the elements = 0.976 eV per atom
Theoretical density = 3.534 g/cm³
Space-group type = Pm-3m (221)
Total moment = 0.00 μB per formula unit

Cell: 6.2427 6.2427 6.2427 Å, 90.00 90.00 90.00°
Closest atoms and distances in Å follow each position.
Element x y z (fractional)
Mg (0.5000, 0.5000, 0.5000)  12 Sn 4.41
Ba (0.0000, 0.0000, 0.0000)  6 Sn 3.12
Sn (0.0000, 0.5000, 0.0000)  2 Ba 3.12
Sn (0.0000, 0.0000, 0.5000)  2 Ba 3.12
Sn (0.5000, 0.0000, 0.0000)  2 Ba 3.12

=====

Entry 4:
Sm6DyMg | GGA-PBE | relaxed

## Properties
Formation energy from the elements = 0.109 eV per atom
Offset from the most stable computed form = 0.098 eV per atom
Theoretical density = 6.943 g/cm³
Space-group type = P-1 (2)
Total moment = 0.00 μB per formula unit

Cell: 8.5822 9.5789 6.4343 Å, 41.83 48.09 55.95°
Closest atoms and distances in Å follow each position.
Element x y z (fractional)
Sm (0.9472, 0.5266, 0.7666)  6 Sm 3.28-3.61, 1 Mg 3.33, 1 Dy 3.49
Sm (0.7597, 0.9473, 0.8203)  6 Sm 3.28-3.61, 1 Mg 3.33, 1 Dy 3.49
Sm (0.5266, 0.2402, 0.2866)  6 Sm 3.28-3.61, 1 Mg 3.32, 1 Dy 3.49
Sm (0.2403, 0.0527, 0.1797)  6 Sm 3.28-3.61, 1 Mg 3.33, 1 Dy 3.49
Sm (0.0528, 0.4734, 0.2334)  6 Sm 3.28-3.61, 1 Mg 3.33, 1 Dy 3.49
Sm (0.4734, 0.7598, 0.7134)  6 Sm 3.28-3.61, 1 Mg 3.32, 1 Dy 3.49
Dy (0.5000, 0.5000, 0.5000)  12 Sm 3.49-3.74
Mg (0.0000, 0.0000, 0.0000)  6 Sm 3.32-3.33